[1]
BeAsAu | GGA-PBE | optimized geometry

* ΔH_f (0 K): -0.0772 eV/atom
* uncorrected energy: -3.962 eV/atom

Cell lengths 3.945, 5.531, 5.531 Å; angles 104.32, 90.00, 90.00 degrees
Fractional coordinates of all 6 atoms:
1 Be 0.218 0.250 0.750
2 Be 0.782 0.750 0.250
3 As 0.300 0.574 0.074
4 As 0.700 0.074 0.574
5 Au 0.000 0.388 0.388
6 Au 0.000 0.888 0.888

---

[2]
Na12AgPb3 | GGA-PBE | optimized geometry

* ΔH_f (0 K): -0.0620 eV/atom
* uncorrected energy: -1.925 eV/atom

Cell lengths 4.919, 4.919, 19.516 Å; angles 90.00, 90.00, 90.00 degrees
Fractional coordinates of all 16 atoms:
1 Na 0.000 0.000 0.000
2 Na 0.000 0.000 0.242
3 Na 0.000 0.000 0.500
4 Na 0.000 0.000 0.758
5 Na 0.000 0.500 0.117
6 Na 0.000 0.500 0.371
7 Na 0.000 0.500 0.629
8 Na 0.000 0.500 0.883
9 Na 0.500 0.000 0.117
10 Na 0.500 0.000 0.371
11 Na 0.500 0.000 0.629
12 Na 0.500 0.000 0.883
13 Ag 0.500 0.500 0.000
14 Pb 0.500 0.500 0.244
15 Pb 0.500 0.500 0.500
16 Pb 0.500 0.500 0.756

---

> Which formula does entry 1 have?

BeAsAu

---

> What is the ΔH_f (0 K) in the first record?

-0.0772 eV/atom

---

> What is the formula in the first record?

BeAsAu